Entry 1:
Material: PaNiH3
Method: DFT, PBE-GGA
State: optimized geometry

Results
* energy above the most stable polymorph in this dataset: 0.0 meV per atom
* total DFT energy (no corrections): -5.38 eV/atom
* calculated volume: 195 Å³ per cell

CIF file:
```
data_PaNiH3
_space_group_name_H-M_alt 'P n m a'
_space_group_IT_number 62
_cell_length_a 6.223
_cell_length_b 4.379
_cell_length_c 7.140
_cell_angle_alpha 90.00
_cell_angle_beta 90.00
_cell_angle_gamma 90.00
loop_
_space_group_symop_operation_xyz
'x,y,z'
'-x,-y,-z'
'-x+1/2,-y,z+1/2'
'x+1/2,y,-z+1/2'
'x+1/2,-y+1/2,-z+1/2'
'-x+1/2,y+1/2,z+1/2'
'-x,y+1/2,-z'
'x,-y+1/2,z'
loop_
_atom_site_label
_atom_site_type_symbol
_atom_site_fract_x
_atom_site_fract_y
_atom_site_fract_z
_atom_site_occupancy
Pa1 Pa 0.246 0.250 0.092 1
Ni1 Ni 0.008 0.750 0.231 1
H1 H 0.080 0.038 0.359 1
H2 H 0.107 0.750 0.010 1
```

Entry 2:
Material: PaNiH8Pd2
Method: DFT, PBE-GGA
State: optimized geometry

Results
* total DFT energy (no corrections): -4.42 eV/atom
* calculated volume: 122 Å³ per cell

CIF file:
```
data_PaNiH8Pd2
_space_group_name_H-M_alt 'P -3 m 1'
_space_group_IT_number 164
_space_group_name_Hall '-P 3 2"'
_cell_length_a 4.8838
_cell_length_b 4.8838
_cell_length_c 5.9094
_cell_angle_alpha 90.00
_cell_angle_beta 90.00
_cell_angle_gamma 120.00
loop_
_atom_site_label
_atom_site_type_symbol
_atom_site_fract_x
_atom_site_fract_y
_atom_site_fract_z
_atom_site_occupancy
Pa1 Pa 0.0000 0.0000 0.0000 1
Ni1 Ni 0.0000 0.0000 0.5000 1
H1 H 0.1490 0.2979 0.3341 1
H2 H 0.3333 0.6667 0.8781 1
Pd1 Pd 0.3333 0.6667 0.1552 1
```

Entry 3:
Material: PaNi2H8Pd
Method: DFT, PBE-GGA
State: optimized geometry

Results
* total DFT energy (no corrections): -4.47 eV/atom
* calculated volume: 114 Å³ per cell

CIF file:
```
data_PaNi2H8Pd
_space_group_name_H-M_alt 'P -3 m 1'
_space_group_IT_number 164
_space_group_name_Hall '-P 3 2"'
_cell_length_a 4.5563
_cell_length_b 4.5563
_cell_length_c 6.3343
_cell_angle_alpha 90.00
_cell_angle_beta 90.00
_cell_angle_gamma 120.00
loop_
_atom_site_label
_atom_site_type_symbol
_atom_site_fract_x
_atom_site_fract_y
_atom_site_fract_z
_atom_site_occupancy
Pa1 Pa 0.0000 0.0000 0.0000 1
Ni1 Ni 0.3333 0.6667 0.1629 1
H1 H 0.1630 0.3259 0.3142 1
H2 H 0.3333 0.6667 0.9190 1
Pd1 Pd 0.0000 0.0000 0.5000 1
```

Entry 4:
Material: Pm2PaNi3H12
Method: DFT, PBE-GGA
State: optimized geometry

Results
* total DFT energy (no corrections): -4.50 eV/atom
* calculated volume: 492 Å³ per cell

CIF file:
```
data_Pm2PaNi3H12
_space_group_name_H-M_alt 'R -3 m'
_space_group_IT_number 166
_space_group_name_Hall '-R 3 2"'
_cell_length_a 6.1264
_cell_length_b 6.1264
_cell_length_c 15.1419
_cell_angle_alpha 90.00
_cell_angle_beta 90.00
_cell_angle_gamma 120.00
loop_
_atom_site_label
_atom_site_type_symbol
_atom_site_fract_x
_atom_site_fract_y
_atom_site_fract_z
_atom_site_occupancy
Pm1 Pm 0.0000 0.0000 0.1111 1
Pa1 Pa 0.0000 0.0000 0.5000 1
Ni1 Ni 0.0000 0.5000 0.0000 1
H1 H 0.0530 0.5265 0.8871 1
H2 H 0.0747 0.5374 0.2999 1
```

Repeat the fourth record exactly.
Material: Pm2PaNi3H12
Method: DFT, PBE-GGA
State: optimized geometry

Results
* total DFT energy (no corrections): -4.50 eV/atom
* calculated volume: 492 Å³ per cell

CIF file:
```
data_Pm2PaNi3H12
_space_group_name_H-M_alt 'R -3 m'
_space_group_IT_number 166
_space_group_name_Hall '-R 3 2"'
_cell_length_a 6.1264
_cell_length_b 6.1264
_cell_length_c 15.1419
_cell_angle_alpha 90.00
_cell_angle_beta 90.00
_cell_angle_gamma 120.00
loop_
_atom_site_label
_atom_site_type_symbol
_atom_site_fract_x
_atom_site_fract_y
_atom_site_fract_z
_atom_site_occupancy
Pm1 Pm 0.0000 0.0000 0.1111 1
Pa1 Pa 0.0000 0.0000 0.5000 1
Ni1 Ni 0.0000 0.5000 0.0000 1
H1 H 0.0530 0.5265 0.8871 1
H2 H 0.0747 0.5374 0.2999 1
```

Please write out number 4 again, unchanged.
Material: Pm2PaNi3H12
Method: DFT, PBE-GGA
State: optimized geometry

Results
* total DFT energy (no corrections): -4.50 eV/atom
* calculated volume: 492 Å³ per cell

CIF file:
```
data_Pm2PaNi3H12
_space_group_name_H-M_alt 'R -3 m'
_space_group_IT_number 166
_space_group_name_Hall '-R 3 2"'
_cell_length_a 6.1264
_cell_length_b 6.1264
_cell_length_c 15.1419
_cell_angle_alpha 90.00
_cell_angle_beta 90.00
_cell_angle_gamma 120.00
loop_
_atom_site_label
_atom_site_type_symbol
_atom_site_fract_x
_atom_site_fract_y
_atom_site_fract_z
_atom_site_occupancy
Pm1 Pm 0.0000 0.0000 0.1111 1
Pa1 Pa 0.0000 0.0000 0.5000 1
Ni1 Ni 0.0000 0.5000 0.0000 1
H1 H 0.0530 0.5265 0.8871 1
H2 H 0.0747 0.5374 0.2999 1
```